# CeCrB2O6

A geometry-optimized CeCrB2O6 structure (PBE+U, Alexandria).

Geometry as extended XYZ:
```
10
Lattice="-0.327 -3.620 3.269 4.056 -2.158 1.671 1.506 1.686 5.673" Properties=species:S:1:pos:R:3 pbc="T T T"
O 3.087 -0.069 5.133
B 3.916 -3.202 7.813
O 1.097 -1.512 6.558
O 3.844 -2.132 6.934
O 1.390 -1.961 3.679
B 1.318 -0.891 2.801
O 4.138 -2.581 4.055
O 2.147 -4.025 5.480
Cr 2.617 -2.047 5.307
Ce 0.000 0.000 0.000
```

Summary:
* calculated total energy: -8.248 eV/atom